Compound: LaPr2P
Source: Alexandria
Functional: PBE
Structure: optimized geometry

Cell: 3.988 3.988 28.980 Å, 90.00 90.00 120.00°
Fractional coordinates of all 12 atoms:
La 0.000 0.000 0.000
La 0.333 0.667 0.667
La 0.667 0.333 0.333
Pr 0.000 0.000 0.226
Pr 0.000 0.000 0.774
Pr 0.333 0.667 0.441
Pr 0.333 0.667 0.892
Pr 0.667 0.333 0.108
Pr 0.667 0.333 0.559
P 0.000 0.000 0.500
P 0.333 0.667 0.167
P 0.667 0.333 0.833

Output
Space-group type: R-3m (166)
Formation energy from the elements (kJ/mol of formula units): -255

=====

Compound: La3Dy6HoTm2
Source: Alexandria
Functional: PBE
Structure: optimized geometry

Cell: 6.210 6.210 11.865 Å, 95.01 95.01 120.02°
Fractional coordinates of all 12 atoms:
La 0.000 0.000 0.000
La 0.333 0.667 0.000
La 0.667 0.333 0.000
Dy 0.086 0.419 0.257
Dy 0.247 0.247 0.743
Dy 0.419 0.086 0.257
Dy 0.581 0.914 0.743
Dy 0.753 0.753 0.257
Dy 0.914 0.581 0.743
Ho 0.500 0.500 0.500
Tm 0.167 0.833 0.500
Tm 0.833 0.167 0.500

Output
Space-group type: C2/m (12)
Formation energy from the elements (kJ/mol of formula units): 29

=====

Compound: LiY6Co2
Source: Alexandria
Functional: PBE
Structure: optimized geometry

Cell: 8.386 8.386 8.386 Å, 111.85 109.29 107.31°
Fractional coordinates of all 18 atoms:
Li 0.000 0.000 0.000
Li 0.500 0.500 0.000
Y 0.031 0.231 0.800
Y 0.181 0.283 0.464
Y 0.181 0.717 0.898
Y 0.321 0.007 0.685
Y 0.321 0.636 0.315
Y 0.431 0.231 0.200
Y 0.569 0.769 0.800
Y 0.679 0.364 0.685
Y 0.679 0.993 0.315
Y 0.819 0.283 0.102
Y 0.819 0.717 0.536
Y 0.969 0.769 0.200
Co 0.113 0.613 0.500
Co 0.336 0.000 0.336
Co 0.664 0.000 0.664
Co 0.887 0.387 0.500

Output
Space-group type: Immm (71)
Formation energy from the elements (kJ/mol of formula units): -95

=====

Compound: CaAlGa2Pt
Source: Alexandria
Functional: PBE
Structure: optimized geometry

Cell: 4.169 4.245 11.130 Å, 90.00 90.00 90.00°
Fractional coordinates of all 10 atoms:
Ca 0.000 0.000 0.000
Ca 0.500 0.500 0.500
Al 0.000 0.500 0.755
Al 0.500 0.000 0.255
Ga 0.000 0.000 0.604
Ga 0.000 0.500 0.252
Ga 0.500 0.000 0.752
Ga 0.500 0.500 0.104
Pt 0.000 0.000 0.380
Pt 0.500 0.500 0.880

Output
Space-group type: Imm2 (44)
Formation energy from the elements (kJ/mol of formula units): -341

=====

Compound: UCrBr6
Source: Alexandria
Functional: PBE
Structure: optimized geometry

Cell: 6.808 13.231 6.820 Å, 90.00 110.37 90.00°
Fractional coordinates of all 16 atoms:
U 0.000 0.000 0.000
U 0.500 0.500 0.000
Cr 0.000 0.500 0.500
Cr 0.500 0.000 0.500
Br 0.232 0.358 0.727
Br 0.232 0.642 0.727
Br 0.245 0.000 0.758
Br 0.255 0.500 0.242
Br 0.268 0.142 0.273
Br 0.268 0.858 0.273
Br 0.732 0.142 0.727
Br 0.732 0.858 0.727
Br 0.745 0.500 0.758
Br 0.755 0.000 0.242
Br 0.768 0.358 0.273
Br 0.768 0.642 0.273

Output
Space-group type: C2/m (12)
Energy relative to the lowest polymorph listed for this composition (meV/atom): 0
E_form (uncorrected) (eV/atom): -1.043

=====

Compound: VCd2Pd9
Source: Alexandria
Functional: PBE
Structure: optimized geometry

Cell: 3.963 3.963 12.079 Å, 90.00 90.00 90.00°
Fractional coordinates of all 12 atoms:
V 0.000 0.000 0.000
Cd 0.000 0.000 0.330
Cd 0.000 0.000 0.670
Pd 0.000 0.500 0.153
Pd 0.000 0.500 0.500
Pd 0.000 0.500 0.847
Pd 0.500 0.000 0.153
Pd 0.500 0.000 0.500
Pd 0.500 0.000 0.847
Pd 0.500 0.500 0.000
Pd 0.500 0.500 0.325
Pd 0.500 0.500 0.675

Output
Space-group type: P4/mmm (123)
Formation energy from the elements (kJ/mol of formula units): -300

=====

Compound: TaOsN2O
Source: Alexandria
Functional: PBE
Structure: optimized geometry

Cell: 3.856 3.856 3.862 Å, 90.00 90.00 90.00°
Fractional coordinates of all 5 atoms:
Ta 0.000 0.000 0.000
Os 0.500 0.500 0.500
N 0.000 0.500 0.500
N 0.500 0.000 0.500
O 0.500 0.500 0.000

Output
Space-group type: P4/mmm (123)
E_form (uncorrected) (eV/atom): 0.662

=====

Compound: LiLuAlCd
Source: Alexandria
Functional: PBE
Structure: optimized geometry

Cell: 6.933 6.933 6.933 Å, 90.00 90.00 90.00°
Fractional coordinates of all 16 atoms:
Li 0.000 0.000 0.000
Li 0.000 0.500 0.500
Li 0.500 0.000 0.500
Li 0.500 0.500 0.000
Lu 0.000 0.000 0.500
Lu 0.000 0.500 0.000
Lu 0.500 0.000 0.000
Lu 0.500 0.500 0.500
Al 0.250 0.250 0.750
Al 0.250 0.750 0.250
Al 0.750 0.250 0.250
Al 0.750 0.750 0.750
Cd 0.250 0.250 0.250
Cd 0.250 0.750 0.750
Cd 0.750 0.250 0.750
Cd 0.750 0.750 0.250

Output
Space-group type: F-43m (216)
Formation energy from the elements (kJ/mol of formula units): -87

=====

Let's list E in order: -5.63; -4.63; -6.21; -4.27; -4.91; -5.07; -8.28; -3.00 eV/atom.